Zr2TaTl (PBE, optimized geometry); SG = Cm (8); ΔE to the lowest computed polymorph = 0.58 eV/f.u.; crystal system = monoclinic; calculated formation energy = 141 meV per atom
1.0
10.496 0.000 0.000
0.000 3.146 0.000
-1.071 0.000 5.270
Zr Ta Tl
4 2 2
Direct
0.000 0.000 0.000
0.231 0.000 0.709
0.500 0.500 0.000
0.731 0.500 0.709
0.244 0.500 0.223
0.744 0.000 0.223
0.481 0.000 0.489
0.981 0.500 0.489

=====

TlSb2Au2 (PBE, optimized geometry); SG = I4/mmm (139); formation energy without anion corrections = 0.013 eV per atom; ΔE to the lowest computed polymorph = 0.26 eV/f.u.; crystal system = tetragonal
1.0
4.997 0.000 0.000
0.000 4.997 0.000
0.000 0.000 10.849
Tl Sb Au
2 4 4
Direct
0.000 0.000 0.000
0.500 0.500 0.500
0.000 0.500 0.250
0.000 0.500 0.750
0.500 0.000 0.250
0.500 0.000 0.750
0.000 0.000 0.371
0.000 0.000 0.629
0.500 0.500 0.129
0.500 0.500 0.871

=====

NaScCd6 (PBE, optimized geometry); SG = Amm2 (38); ΔE to the lowest computed polymorph = 0.00 eV/f.u.; crystal system = orthorhombic; calculated formation energy = -151 meV per atom
1.0
4.985 0.000 0.000
0.000 6.430 0.000
0.000 0.000 11.142
Na Sc Cd
2 2 12
Direct
0.000 0.000 0.000
0.000 0.500 0.500
0.500 0.000 0.334
0.500 0.500 0.834
0.000 0.000 0.500
0.000 0.248 0.251
0.000 0.252 0.751
0.000 0.500 0.000
0.000 0.748 0.751
0.000 0.752 0.251
0.500 0.000 0.831
0.500 0.247 0.585
0.500 0.253 0.085
0.500 0.500 0.331
0.500 0.747 0.085
0.500 0.753 0.585

=====

PmSn4Pd15 (PBE, optimized geometry); SG = P4/mmm (123); crystal system = tetragonal; calculated formation energy = -560 meV per atom
1.0
4.078 0.000 0.000
0.000 4.078 0.000
0.000 0.000 20.283
Pm Sn Pd
1 4 15
Direct
0.000 0.000 0.000
0.000 0.000 0.204
0.000 0.000 0.402
0.000 0.000 0.598
0.000 0.000 0.796
0.000 0.500 0.107
0.000 0.500 0.303
0.000 0.500 0.500
0.000 0.500 0.697
0.000 0.500 0.893
0.500 0.000 0.107
0.500 0.000 0.303
0.500 0.000 0.500
0.500 0.000 0.697
0.500 0.000 0.893
0.500 0.500 0.000
0.500 0.500 0.205
0.500 0.500 0.401
0.500 0.500 0.599
0.500 0.500 0.795

=====

For reference, magnetization by record: 0.00 0.00 0.00 0.00 μB/cell.
For reference, calculated total energy by record: -7.688 -3.420 -1.794 -5.493 eV/atom.